No. 1
# PmTaAl, optimized geometry, DFT PBE
data_PmTaAl
_cell_length_a 4.895
_cell_length_b 4.895
_cell_length_c 4.895
_cell_angle_alpha 60.00
_cell_angle_beta 60.00
_cell_angle_gamma 60.00
_symmetry_space_group_name_H-M 'P 1'
_symmetry_Int_Tables_number 1
loop_
_symmetry_equiv_pos_as_xyz
'x,y,z'
loop_
_atom_site_label
_atom_site_type_symbol
_atom_site_fract_x
_atom_site_fract_y
_atom_site_fract_z
Al1 Al 0.250 0.250 0.250
Pm1 Pm 0.000 0.000 0.000
Ta1 Ta 0.750 0.750 0.750
# Total moment   2.33 μB/f.u.
# ρ   7.065 g/cm³
# Crystal system   cubic
# E_tot   -5.48 eV/atom
# V   82.95 Å³/cell

=====

No. 2
# PmThAl, optimized geometry, DFT PBE
data_PmThAl
_cell_length_a 5.107
_cell_length_b 5.107
_cell_length_c 5.107
_cell_angle_alpha 60.00
_cell_angle_beta 60.00
_cell_angle_gamma 60.00
_symmetry_space_group_name_H-M 'P 1'
_symmetry_Int_Tables_number 1
loop_
_symmetry_equiv_pos_as_xyz
'x,y,z'
loop_
_atom_site_label
_atom_site_type_symbol
_atom_site_fract_x
_atom_site_fract_y
_atom_site_fract_z
Al1 Al 0.000 0.000 0.000
Pm1 Pm 0.250 0.250 0.250
Th1 Th 0.750 0.750 0.750
# Total moment   0.03 μB/f.u.
# ρ   7.122 g/cm³
# Crystal system   cubic
# E_tot   -5.25 eV/atom
# V   94.20 Å³/cell
# Relative energy among the computed polymorphs   0.000 eV per atom